VASP calculation (PBE-GGA) on an optimized crystal structure of BaY2NbN.

The calculation puts the calculated total energy at -30.438 eV/cell. The calculation puts the density of states at the Fermi level at 1.32 states/eV per atom. The space group is No. 123. For the calculated volume, the calculation gives 30.44 A^3/atom. The uncorrected formation energy is 0.562 eV per atom. The value obtained for the total magnetization is 0.00 μB per cell.

Unit cell a=6.124 b=4.058 c=6.124 alpha=90.00 beta=90.00 gamma=90.00
Fractional positions:
Y 0.000 0.000 0.500
Y 0.500 0.000 0.000
Nb 0.000 0.000 0.000
Ba 0.500 0.500 0.500
N 0.000 0.500 0.000